A relaxed structure of PaMn2MoO6, computed with PBE with a Hubbard U.

```
data_PaMn2MoO6
_chemical_formula_sum 'Pa1 Mn2 Mo1 O6'
_cell_length_a 5.4195
_cell_length_b 5.4348
_cell_length_c 5.8502
_cell_angle_alpha 62.58
_cell_angle_beta 89.71
_cell_angle_gamma 60.36
_space_group_name_H-M_alt 'P 1'
_space_group_IT_number 1
loop_
_space_group_symop_operation_xyz
'x,y,z'
loop_
_atom_site_label
_atom_site_type_symbol
_atom_site_fract_x
_atom_site_fract_y
_atom_site_fract_z
Pa1 Pa 0.0000 0.0000 0.0000
Mn1 Mn 0.2034 0.5920 0.6035
Mn2 Mn 0.6970 0.6050 0.0905
Mo1 Mo 0.4995 0.9991 0.5037
O1 O 0.0920 0.4987 0.2982
O2 O 0.2956 0.7960 0.7887
O3 O 0.4035 0.8055 0.2905
O4 O 0.5951 0.1000 0.7978
O5 O 0.7762 0.1302 0.2779
O6 O 0.9003 0.5104 0.7924
```

## Properties
Electronic total energy   -8.01 eV/atom
Total magnetic moment   1.00 μB per cell